Record 1
BaHg2Pt, optimized geometry, DFT GGA-PBE; formation enthalpy at 0 K = -397 meV/atom; space group = No. 6
1.0
4.6383 0.0000 0.0000
0.0000 4.1837 0.0000
-2.3013 0.0000 6.0706
Ba Hg Pt
1 2 1
direct
0.0000 0.0000 0.0000
0.3170 0.5000 0.6388
0.7179 0.0000 0.4370
0.5549 0.5000 0.1117

=====

Record 2
Li3Np3ZnSe8, optimized geometry, DFT GGA-PBE; E_form (uncorrected) = -1.037 eV per atom; space group = No. 166
1.0
4.0235 2.3230 6.4640
-4.0235 2.3230 6.4640
0.0000 -4.6459 6.4640
Li Np Zn Se
3 3 1 8
direct
0.0000 0.5000 0.5000
0.5000 0.0000 0.5000
0.5000 0.5000 0.0000
0.0000 0.0000 0.5000
0.0000 0.5000 0.0000
0.5000 0.0000 0.0000
0.5000 0.5000 0.5000
0.2526 0.2526 0.2526
0.2579 0.2579 0.7419
0.2579 0.7419 0.2579
0.2581 0.7421 0.7421
0.7419 0.2579 0.2579
0.7421 0.2581 0.7421
0.7421 0.7421 0.2581
0.7474 0.7474 0.7474

=====

Record 3
Na2ScUS4, optimized geometry, DFT GGA-PBE; E_form (uncorrected) = -1.526 eV per atom; space group = No. 10
1.0
6.6848 0.0000 0.0000
0.0000 3.8756 0.0000
-2.2269 0.0000 6.7109
Na Sc U S
2 1 1 4
direct
0.0000 0.0000 0.0000
0.5000 0.5000 0.0000
0.0000 0.5000 0.5000
0.5000 0.0000 0.5000
0.2307 0.0000 0.7202
0.2470 0.5000 0.2723
0.7530 0.5000 0.7277
0.7693 0.0000 0.2798

=====

Record 4
Ce3Pm2TmAs6, optimized geometry, DFT GGA-PBE; formation enthalpy at 0 K = -1471 meV/atom; space group = No. 12
1.0
3.6376 -6.3007 0.0000
3.6376 6.3007 0.0000
-2.4280 0.0000 6.8493
Ce Pm Tm As
3 2 1 6
direct
0.0000 0.0000 0.0000
0.3318 0.6682 0.0000
0.6682 0.3318 0.0000
0.1661 0.8339 0.5000
0.8339 0.1661 0.5000
0.5000 0.5000 0.5000
0.0897 0.4171 0.2507
0.2566 0.2566 0.7510
0.4171 0.0897 0.2507
0.5829 0.9103 0.7493
0.7434 0.7434 0.2490
0.9103 0.5829 0.7493

=====

Record 5
NbC, optimized geometry, DFT GGA-PBE; energy relative to the lowest polymorph listed for this composition = 555 meV per atom; formation enthalpy at 0 K = 83 meV/atom; space group = No. 216
1.0
0.0000 2.4305 2.4305
2.4305 0.0000 2.4305
2.4305 2.4305 0.0000
Nb C
1 1
direct
0.0000 0.0000 0.0000
0.7500 0.7500 0.7500

=====

Record 6
Be3SiPt, optimized geometry, DFT GGA-PBE; energy relative to the lowest polymorph listed for this composition = 266 meV per atom; E_form (uncorrected) = 0.716 eV per atom; space group = No. 221
1.0
4.1044 0.0000 0.0000
0.0000 4.1044 0.0000
0.0000 0.0000 4.1044
Be Si Pt
3 1 1
direct
0.0000 0.0000 0.5000
0.0000 0.5000 0.0000
0.5000 0.0000 0.0000
0.0000 0.0000 0.0000
0.5000 0.5000 0.5000

=====

Record 7
PrDyGaSi, optimized geometry, DFT GGA-PBE; E_form (uncorrected) = -0.706 eV per atom; space group = No. 38
1.0
4.0177 0.0000 0.0000
0.0000 2.1963 5.5217
0.0000 -2.1963 5.5217
Pr Dy Ga Si
1 1 1 1
direct
0.0000 0.0000 0.0000
0.5000 0.2816 0.2816
0.5000 0.5735 0.5735
0.0000 0.7185 0.7185

=====

Record 8
MgScPC2, optimized geometry, DFT GGA-PBE; formation enthalpy at 0 K = 1443 meV/atom; space group = No. 123
1.0
3.8872 0.0000 0.0000
0.0000 3.8872 0.0000
0.0000 0.0000 4.8281
Mg Sc P C
1 1 1 2
direct
0.0000 0.0000 0.0000
0.5000 0.5000 0.0000
0.5000 0.5000 0.5000
0.0000 0.5000 0.5000
0.5000 0.0000 0.5000

=====

Record 9
Cr2TcNi, optimized geometry, DFT GGA-PBE; formation enthalpy at 0 K = 242 meV/atom; space group = No. 160
1.0
1.3009 0.7511 8.4873
-1.3009 0.7511 8.4873
0.0000 -1.5021 8.4873
Cr Tc Ni
2 1 1
direct
0.0000 0.0000 0.0000
0.2507 0.2507 0.2507
0.7508 0.7508 0.7508
0.5048 0.5048 0.5048

=====

Record 10
TlAgAs4, optimized geometry, DFT GGA-PBE; formation enthalpy at 0 K = 309 meV/atom; space group = No. 216
1.0
0.0000 4.0510 4.0510
4.0510 0.0000 4.0510
4.0510 4.0510 0.0000
Tl Ag As
1 1 4
direct
0.0000 0.0000 0.0000
0.7500 0.7500 0.7500
0.3758 0.3758 0.3758
0.3758 0.3758 0.8726
0.3758 0.8726 0.3758
0.8726 0.3758 0.3758

=====

Record 11
YInOs2, optimized geometry, DFT GGA-PBE; formation enthalpy at 0 K = 365 meV/atom; space group = No. 119
1.0
-2.0422 2.0422 4.4392
2.0422 -2.0422 4.4392
2.0422 2.0422 -4.4392
Y In Os
1 1 2
direct
0.0000 0.0000 0.0000
0.2500 0.7500 0.5000
0.5000 0.5000 0.0000
0.7500 0.2500 0.5000

=====

Record 12
Ca4HoCd5, optimized geometry, DFT GGA-PBE; formation enthalpy at 0 K = -351 meV/atom; space group = No. 123
1.0
3.8053 0.0000 0.0000
0.0000 3.8053 0.0000
0.0000 0.0000 19.1299
Ca Ho Cd
4 1 5
direct
0.0000 0.0000 0.1015
0.0000 0.0000 0.3038
0.0000 0.0000 0.6962
0.0000 0.0000 0.8985
0.0000 0.0000 0.5000
0.5000 0.5000 0.0000
0.5000 0.5000 0.2026
0.5000 0.5000 0.4068
0.5000 0.5000 0.5932
0.5000 0.5000 0.7974

=====

Record 13
Co2HgRu2, optimized geometry, DFT GGA-PBE; energy relative to the lowest polymorph listed for this composition = 159 meV per atom; formation enthalpy at 0 K = 585 meV/atom; space group = No. 139
1.0
-1.8080 1.8080 5.7181
1.8080 -1.8080 5.7181
1.8080 1.8080 -5.7181
Co Hg Ru
2 1 2
direct
0.2500 0.7500 0.5000
0.7500 0.2500 0.5000
0.0000 0.0000 0.0000
0.3913 0.3913 0.0000
0.6087 0.6087 0.0000

=====

Record 14
Pr2Rh7, optimized geometry, DFT GGA-PBE; formation enthalpy at 0 K = -425 meV/atom; space group = No. 166
1.0
2.6650 1.5387 13.2339
-2.6650 1.5387 13.2339
0.0000 -3.0773 13.2339
Pr Rh
4 14
direct
0.0502 0.0502 0.0502
0.1472 0.1472 0.1472
0.8528 0.8528 0.8528
0.9498 0.9498 0.9498
0.0000 0.5000 0.5000
0.1093 0.6096 0.6096
0.2779 0.2779 0.2779
0.3887 0.3887 0.3887
0.3904 0.3904 0.8907
0.3904 0.8907 0.3904
0.5000 0.0000 0.5000
0.5000 0.5000 0.0000
0.5000 0.5000 0.5000
0.6096 0.1093 0.6096
0.6096 0.6096 0.1093
0.6113 0.6113 0.6113
0.7221 0.7221 0.7221
0.8907 0.3904 0.3904

=====

Record 15
KNaNp2Br8, optimized geometry, DFT GGA-PBE; E_form (uncorrected) = -1.418 eV per atom; space group = No. 2
1.0
7.0087 0.0000 0.0000
-0.5163 7.3196 0.0000
-0.1341 -0.1058 8.9416
K Na Np Br
1 1 2 8
direct
0.0000 0.0000 0.0000
0.0000 0.0000 0.5000
0.4998 0.4999 0.2545
0.5002 0.5001 0.7455
0.2507 0.1778 0.2731
0.2531 0.1755 0.7363
0.2794 0.6469 0.4990
0.2848 0.6379 0.9987
0.7152 0.3621 0.0013
0.7206 0.3531 0.5010
0.7469 0.8245 0.2637
0.7493 0.8222 0.7269

=====

Record 16
Ta3CoAg, optimized geometry, DFT GGA-PBE; energy relative to the lowest polymorph listed for this composition = 1638 meV per atom; formation enthalpy at 0 K = 2419 meV/atom; space group = No. 221
1.0
4.8350 0.0000 0.0000
0.0000 4.8350 0.0000
0.0000 0.0000 4.8350
Ta Co Ag
3 1 1
direct
0.0000 0.0000 0.5000
0.0000 0.5000 0.0000
0.5000 0.0000 0.0000
0.5000 0.5000 0.5000
0.0000 0.0000 0.0000

=====

Record 17
Pu3CoGe3, optimized geometry, DFT GGA-PBE; energy relative to the lowest polymorph listed for this composition = 274 meV per atom; formation enthalpy at 0 K = -110 meV/atom; space group = No. 176
1.0
7.9072 0.0000 0.0000
-3.9536 6.8478 0.0000
0.0000 0.0000 5.1326
Pu Co Ge
6 2 6
direct
0.0814 0.4582 0.2500
0.3768 0.9186 0.2500
0.4582 0.3768 0.7500
0.5418 0.6232 0.2500
0.6232 0.0814 0.7500
0.9186 0.5418 0.7500
0.3333 0.6667 0.7500
0.6667 0.3333 0.2500
0.0494 0.2357 0.7500
0.1863 0.9506 0.7500
0.2357 0.1863 0.2500
0.7643 0.8137 0.7500
0.8137 0.0494 0.2500
0.9506 0.7643 0.2500

=====

Record 18
Tl2SnTePt, optimized geometry, DFT GGA-PBE; E_form (uncorrected) = -0.177 eV per atom; space group = No. 123
1.0
5.3623 0.0000 0.0000
0.0000 5.3623 0.0000
0.0000 0.0000 5.2572
Tl Sn Te Pt
2 1 1 1
direct
0.0000 0.5000 0.0000
0.5000 0.0000 0.0000
0.0000 0.0000 0.5000
0.5000 0.5000 0.5000
0.0000 0.0000 0.0000

=====

Record 19
Mg4CdIr, optimized geometry, DFT GGA-PBE; energy relative to the lowest polymorph listed for this composition = 0 meV per atom; formation enthalpy at 0 K = -184 meV/atom; space group = No. 123
1.0
3.2576 0.0000 0.0000
0.0000 3.2576 0.0000
0.0000 0.0000 10.9278
Mg Cd Ir
4 1 1
direct
0.0000 0.0000 0.1301
0.0000 0.0000 0.8699
0.5000 0.5000 0.3230
0.5000 0.5000 0.6770
0.0000 0.0000 0.5000
0.5000 0.5000 0.0000

=====

Record 20
PbCl2, optimized geometry, DFT GGA-PBE; E_form (uncorrected) = -1.154 eV per atom; space group = No. 136
1.0
6.8084 0.0000 0.0000
0.0000 6.8084 0.0000
0.0000 0.0000 4.4535
Pb Cl
2 4
direct
0.0000 0.0000 0.0000
0.5000 0.5000 0.5000
0.1971 0.1971 0.5000
0.3029 0.6971 0.0000
0.6971 0.3029 0.0000
0.8029 0.8029 0.5000